Compound: TlZn2FeAs
Source: Alexandria via LeMat-Bulk
Functional: PBE
Structure: relaxed

Geometry as POSCAR:
```
TlZn2FeAs
1.0
4.982 0.000 0.000
0.000 4.982 0.000
0.000 0.000 5.603
Tl Zn Fe As
1 2 1 1
direct
0.000 0.000 0.000 Tl
0.000 0.500 0.000 Zn
0.500 0.000 0.000 Zn
0.500 0.500 0.500 Fe
0.000 0.000 0.500 As
```

Summary:
The calculation puts the magnetization at 0.67 μB per atom. The calculation puts the energy above the lowest structure with this stoichiometry at 364 meV per atom. As for the formation energy: 6.4 eV/f.u. The value obtained for the density is 5.56 g cm⁻³.



Compound: Th6Ir4Ru
Source: Alexandria via LeMat-Bulk
Functional: PBE
Structure: relaxed

Geometry as POSCAR:
```
Th6Ir4Ru
1.0
6.002 3.465 4.574
-6.002 3.465 4.574
0.000 -6.931 4.574
Th Ir Ru
12 8 2
direct
0.058 0.914 0.686 Th
0.086 0.314 0.942 Th
0.186 0.414 0.558 Th
0.314 0.942 0.086 Th
0.414 0.558 0.186 Th
0.442 0.814 0.586 Th
0.558 0.186 0.414 Th
0.586 0.442 0.814 Th
0.686 0.058 0.914 Th
0.814 0.586 0.442 Th
0.914 0.686 0.058 Th
0.942 0.086 0.314 Th
0.108 0.750 0.392 Ir
0.250 0.250 0.250 Ir
0.250 0.608 0.892 Ir
0.392 0.108 0.750 Ir
0.608 0.892 0.250 Ir
0.750 0.392 0.108 Ir
0.750 0.750 0.750 Ir
0.892 0.250 0.608 Ir
0.000 0.000 0.000 Ru
0.500 0.500 0.500 Ru
```

Summary:
The calculation puts the magnetization at 0.00 μB per atom. As for the formation energy: -6.8 eV/f.u. The value obtained for the density is 13.16 g cm⁻³.



Compound: CsLiHgS2
Source: Alexandria via LeMat-Bulk
Functional: PBE
Structure: relaxed

Geometry as POSCAR:
```
CsLiHgS2
1.0
6.730 -2.166 0.000
6.730 2.166 0.000
-1.636 0.000 9.744
Cs Li Hg S
2 2 2 4
direct
0.156 0.156 0.163 Cs
0.844 0.844 0.837 Cs
0.176 0.176 0.558 Li
0.824 0.824 0.442 Li
0.453 0.453 0.318 Hg
0.547 0.547 0.682 Hg
0.125 0.125 0.797 S
0.364 0.364 0.560 S
0.636 0.636 0.440 S
0.875 0.875 0.203 S
```

Summary:
The calculation puts the magnetization at 0.00 μB per atom. The value obtained for the uncorrected formation energy is -0.86 eV/atom. The value obtained for the density is 4.73 g cm⁻³.



Compound: BaCuOs2
Source: Alexandria via LeMat-Bulk
Functional: PBE
Structure: relaxed

Geometry as POSCAR:
```
BaCuOs2
1.0
-2.116 2.903 3.751
2.116 -2.903 3.751
2.116 2.903 -3.751
Ba Cu Os
1 1 2
direct
0.000 0.000 0.000 Ba
0.311 0.811 0.500 Cu
0.517 0.517 0.000 Os
0.667 0.167 0.500 Os
```

Summary:
The calculation puts the magnetization at 0.00 μB per atom. The calculation puts the energy above the lowest structure with this stoichiometry at 784 meV per atom. As for the formation energy: 4.0 eV/f.u. The value obtained for the density is 10.47 g cm⁻³.



Compound: SrCaTlSb2
Source: Alexandria via LeMat-Bulk
Functional: PBE
Structure: relaxed

Geometry as POSCAR:
```
SrCaTlSb2
1.0
6.032 0.000 0.000
0.000 6.032 0.000
0.000 0.000 5.855
Sr Ca Tl Sb
1 1 1 2
direct
0.000 0.000 0.000 Sr
0.500 0.500 0.500 Ca
0.000 0.000 0.500 Tl
0.000 0.500 0.000 Sb
0.500 0.000 0.000 Sb
```

Summary:
The calculation puts the magnetization at 0.00 μB per atom. The value obtained for the uncorrected formation energy is 0.19 eV/atom. The value obtained for the density is 4.49 g cm⁻³.



Compound: CaMoPCl2
Source: Alexandria via LeMat-Bulk
Functional: PBE
Structure: relaxed

Geometry as POSCAR:
```
CaMoPCl2
1.0
4.917 0.000 0.000
0.000 4.917 0.000
0.000 0.000 4.795
Ca Mo P Cl
1 1 1 2
direct
0.000 0.000 0.000 Ca
0.500 0.500 0.500 Mo
0.500 0.500 0.000 P
0.000 0.500 0.500 Cl
0.500 0.000 0.500 Cl
```

Summary:
The calculation puts the magnetization at 0.32 μB per atom. The calculation puts the energy above the lowest structure with this stoichiometry at 0 meV per atom. The value obtained for the uncorrected formation energy is -0.53 eV/atom. The value obtained for the density is 3.41 g cm⁻³.



Compound: LaIO2F
Source: Alexandria via LeMat-Bulk
Functional: PBE
Structure: relaxed

Geometry as POSCAR:
```
LaIO2F
1.0
4.639 0.000 0.000
0.000 4.639 0.000
0.000 0.000 4.048
La I O F
1 1 2 1
direct
0.000 0.000 0.000 La
0.500 0.500 0.000 I
0.000 0.500 0.500 O
0.500 0.000 0.500 O
0.500 0.500 0.500 F
```

Summary:
The calculation puts the magnetization at 0.22 μB per atom. The value obtained for the uncorrected formation energy is -0.79 eV/atom. The value obtained for the density is 6.04 g cm⁻³.



Compound: ThIrAu
Source: Alexandria via LeMat-Bulk
Functional: PBE
Structure: relaxed

Geometry as POSCAR:
```
ThIrAu
1.0
1.903 -8.826 0.000
1.903 8.826 0.000
0.000 0.000 3.966
Th Ir Au
2 2 2
direct
0.106 0.894 0.750 Th
0.894 0.106 0.250 Th
0.447 0.553 0.750 Ir
0.553 0.447 0.250 Ir
0.286 0.714 0.750 Au
0.714 0.286 0.250 Au
```

Summary:
The calculation puts the magnetization at 0.00 μB per atom. The calculation puts the energy above the lowest structure with this stoichiometry at 0 meV per atom. As for the formation energy: -2.3 eV/f.u. The value obtained for the density is 15.48 g cm⁻³.



Compound: ScCrOs
Source: Alexandria via LeMat-Bulk
Functional: PBE
Structure: relaxed

Geometry as POSCAR:
```
ScCrOs
1.0
0.000 2.999 2.999
2.999 0.000 2.999
2.999 2.999 0.000
Sc Cr Os
1 1 1
direct
0.000 0.000 0.000 Sc
0.500 0.500 0.500 Cr
0.250 0.250 0.250 Os
```

Summary:
The calculation puts the magnetization at 0.00 μB per atom. The calculation puts the energy above the lowest structure with this stoichiometry at 631 meV per atom. As for the formation energy: 1.1 eV/f.u. The value obtained for the density is 8.84 g cm⁻³.



Compound: CdCoRu
Source: Alexandria via LeMat-Bulk
Functional: PBE
Structure: relaxed

Geometry as POSCAR:
```
CdCoRu
1.0
4.283 0.000 0.000
-2.141 3.709 0.000
0.000 0.000 2.899
Cd Co Ru
1 1 1
direct
0.000 0.000 0.000 Cd
0.667 0.333 0.423 Co
0.333 0.667 0.534 Ru
```

Summary:
The calculation puts the magnetization at 0.94 μB per atom. The calculation puts the energy above the lowest structure with this stoichiometry at 172 meV per atom. As for the formation energy: 1.3 eV/f.u. The value obtained for the density is 9.82 g cm⁻³.



Compound: BeTcSe2
Source: Alexandria via LeMat-Bulk
Functional: PBE
Structure: relaxed

Geometry as POSCAR:
```
BeTcSe2
1.0
3.132 0.000 0.000
0.000 4.233 0.000
0.000 0.000 4.591
Be Tc Se
1 1 2
direct
0.000 0.000 0.000 Be
0.000 0.500 0.500 Tc
0.500 0.000 0.500 Se
0.500 0.500 0.000 Se
```

Summary:
The calculation puts the magnetization at 0.00 μB per atom. The value obtained for the uncorrected formation energy is 0.42 eV/atom. The value obtained for the density is 7.23 g cm⁻³.



Compound: Pm2DyHf
Source: Alexandria via LeMat-Bulk
Functional: PBE
Structure: relaxed

Geometry as POSCAR:
```
Pm2DyHf
1.0
1.739 1.004 11.378
-1.739 1.004 11.378
0.000 -2.008 11.378
Pm Dy Hf
2 1 1
direct
0.000 0.000 0.000 Pm
0.177 0.177 0.177 Pm
0.421 0.421 0.421 Dy
0.589 0.589 0.589 Hf
```

Summary:
The calculation puts the magnetization at 0.00 μB per atom. The calculation puts the energy above the lowest structure with this stoichiometry at 0 meV per atom. As for the formation energy: 0.6 eV/f.u. The value obtained for the density is 8.79 g cm⁻³.



magnetization of number 3 (CsLiHgS2)? 0.00 μB per atom